! LaTa, optimized geometry, DFT GGA-PBEsol; values from VASP
&SYSTEM
  ibrav = 0, nat = 2, ntyp = 2
/
ATOMIC_SPECIES
La 138.91 La.upf
Ta 180.95 Ta.upf
CELL_PARAMETERS angstrom
1.543 0.891 5.624
-1.543 0.891 5.624
0.000 -1.781 5.624
ATOMIC_POSITIONS crystal
La 0.000 0.000 0.000
Ta 0.500 0.500 0.500
! E above lowest polymorph = 431 meV/atom
! Space-group type = No. 166
! N(E_F) = 3.3 states/eV per cell
! Formation enthalpy at 0 K = 139.0 kJ/mol of formula units

---

! YTcC3, optimized geometry, DFT GGA-PBEsol; values from VASP
&SYSTEM
  ibrav = 0, nat = 5, ntyp = 3
/
ATOMIC_SPECIES
Y 88.91 Y.upf
Tc 98.00 Tc.upf
C 12.01 C.upf
CELL_PARAMETERS angstrom
4.259 0.000 0.000
0.000 4.259 0.000
0.000 0.000 4.259
ATOMIC_POSITIONS crystal
Y 0.000 0.000 0.000
Tc 0.500 0.500 0.500
C 0.000 0.000 0.500
C 0.000 0.500 0.000
C 0.500 0.000 0.000
! Space-group type = No. 221
! N(E_F) = 3.4 states/eV per cell
! Formation enthalpy at 0 K = 1506.2 kJ/mol of formula units

---

! Ir2Rh, optimized geometry, DFT GGA-PBEsol; values from VASP
&SYSTEM
  ibrav = 0, nat = 12, ntyp = 2
/
ATOMIC_SPECIES
Ir 192.22 Ir.upf
Rh 102.91 Rh.upf
CELL_PARAMETERS angstrom
-1.906 1.906 11.435
1.906 -1.906 11.435
1.906 1.906 -11.435
ATOMIC_POSITIONS crystal
Ir 0.125 0.375 0.750
Ir 0.292 0.542 0.750
Ir 0.375 0.125 0.250
Ir 0.458 0.708 0.750
Ir 0.542 0.292 0.250
Ir 0.625 0.875 0.750
Ir 0.708 0.458 0.250
Ir 0.875 0.625 0.250
Rh 0.042 0.792 0.250
Rh 0.208 0.958 0.250
Rh 0.792 0.042 0.750
Rh 0.958 0.208 0.750
! E above lowest polymorph = 10 meV/atom
! Space-group type = No. 141
! N(E_F) = 11.5 states/eV per cell
! Formation enthalpy at 0 K = -4.6 kJ/mol of formula units

---

! Ho4Ga12Pd, optimized geometry, DFT GGA-PBEsol; values from VASP
&SYSTEM
  ibrav = 0, nat = 17, ntyp = 3
/
ATOMIC_SPECIES
Ho 164.93 Ho.upf
Ga 69.72 Ga.upf
Pd 106.42 Pd.upf
CELL_PARAMETERS angstrom
-4.233 4.233 4.233
4.233 -4.233 4.233
4.233 4.233 -4.233
ATOMIC_POSITIONS crystal
Ho 0.000 0.000 0.500
Ho 0.000 0.500 0.000
Ho 0.500 0.000 0.000
Ho 0.500 0.500 0.500
Ga 0.000 0.297 0.297
Ga 0.000 0.703 0.703
Ga 0.250 0.500 0.750
Ga 0.250 0.750 0.500
Ga 0.297 0.000 0.297
Ga 0.297 0.297 0.000
Ga 0.500 0.250 0.750
Ga 0.500 0.750 0.250
Ga 0.703 0.000 0.703
Ga 0.703 0.703 0.000
Ga 0.750 0.250 0.500
Ga 0.750 0.500 0.250
Pd 0.000 0.000 0.000
! Space-group type = No. 229
! N(E_F) = 3.6 states/eV per cell
! Formation enthalpy at 0 K = -1079.8 kJ/mol of formula units

---

! BaFe2Si, optimized geometry, DFT GGA-PBEsol; values from VASP
&SYSTEM
  ibrav = 0, nat = 4, ntyp = 3
/
ATOMIC_SPECIES
Ba 137.33 Ba.upf
Fe 55.84 Fe.upf
Si 28.09 Si.upf
CELL_PARAMETERS angstrom
3.139 -4.274 0.000
3.139 4.274 0.000
-1.378 0.000 2.635
ATOMIC_POSITIONS crystal
Ba 0.000 0.000 0.000
Fe 0.000 0.500 0.500
Fe 0.500 0.000 0.500
Si 0.500 0.500 0.000
! Space-group type = No. 12
! N(E_F) = 4.7 states/eV per cell
! Formation energy without anion corrections = 972 meV per atom

---

! Be2CrCu, optimized geometry, DFT GGA-PBEsol; values from VASP
&SYSTEM
  ibrav = 0, nat = 4, ntyp = 3
/
ATOMIC_SPECIES
Be 9.01 Be.upf
Cr 52.00 Cr.upf
Cu 63.55 Cu.upf
CELL_PARAMETERS angstrom
3.616 0.000 0.000
0.000 1.196 4.429
0.000 -1.196 4.429
ATOMIC_POSITIONS crystal
Be 0.000 0.000 0.000
Be 0.500 0.133 0.133
Cr 0.500 0.396 0.396
Cu 0.000 0.732 0.732
! Space-group type = No. 38
! N(E_F) = 2.6 states/eV per cell
! Formation enthalpy at 0 K = 35.2 kJ/mol of formula units

---

! PtPbW, optimized geometry, DFT GGA-PBEsol; values from VASP
&SYSTEM
  ibrav = 0, nat = 3, ntyp = 3
/
ATOMIC_SPECIES
Pt 195.08 Pt.upf
Pb 207.20 Pb.upf
W 183.84 W.upf
CELL_PARAMETERS angstrom
0.000 3.139 3.139
3.139 0.000 3.139
3.139 3.139 0.000
ATOMIC_POSITIONS crystal
Pt 0.000 0.000 0.000
Pb 0.750 0.750 0.750
W 0.250 0.250 0.250
! E above lowest polymorph = 0 meV/atom
! Space-group type = No. 216
! N(E_F) = 3.4 states/eV per cell
! Formation enthalpy at 0 K = 229.2 kJ/mol of formula units

---

! Li3TlPd, optimized geometry, DFT GGA-PBEsol; values from VASP
&SYSTEM
  ibrav = 0, nat = 5, ntyp = 3
/
ATOMIC_SPECIES
Li 6.94 Li.upf
Tl 204.38 Tl.upf
Pd 106.42 Pd.upf
CELL_PARAMETERS angstrom
4.666 0.000 0.000
0.000 4.666 0.000
0.000 0.000 4.666
ATOMIC_POSITIONS crystal
Li 0.000 0.000 0.500
Li 0.000 0.500 0.000
Li 0.500 0.000 0.000
Tl 0.500 0.500 0.500
Pd 0.000 0.000 0.000
! Space-group type = No. 221
! N(E_F) = 2.4 states/eV per cell
! Formation enthalpy at 0 K = -3.9 kJ/mol of formula units

---

! Ba2AsSe, optimized geometry, DFT GGA-PBEsol; values from VASP
&SYSTEM
  ibrav = 0, nat = 4, ntyp = 3
/
ATOMIC_SPECIES
Ba 137.33 Ba.upf
As 74.92 As.upf
Se 78.96 Se.upf
CELL_PARAMETERS angstrom
4.661 0.000 0.000
0.000 4.661 0.000
0.000 0.000 6.586
ATOMIC_POSITIONS crystal
Ba 0.000 0.000 0.000
Ba 0.500 0.500 0.500
As 0.000 0.000 0.500
Se 0.500 0.500 0.000
! E above lowest polymorph = 0 meV/atom
! Space-group type = No. 123
! N(E_F) = 4.3 states/eV per cell
! Formation energy without anion corrections = -1351 meV per atom

---

! Li3Nb4NiO12, optimized geometry, DFT GGA-PBEsol; values from VASP
&SYSTEM
  ibrav = 0, nat = 20, ntyp = 4
/
ATOMIC_SPECIES
Li 6.94 Li.upf
Nb 92.91 Nb.upf
Ni 58.69 Ni.upf
O 16.00 O.upf
CELL_PARAMETERS angstrom
5.136 0.000 0.000
0.008 5.536 0.000
0.002 0.784 7.514
ATOMIC_POSITIONS crystal
Li 0.000 0.000 0.000
Li 0.001 0.993 0.503
Li 0.503 0.498 0.997
Nb 0.000 0.565 0.285
Nb 0.001 0.568 0.787
Nb 0.501 0.061 0.283
Nb 0.502 0.066 0.785
Ni 0.502 0.467 0.487
O 0.134 0.604 0.049
O 0.179 0.917 0.741
O 0.190 0.274 0.373
O 0.317 0.774 0.375
O 0.328 0.421 0.735
O 0.370 0.104 0.045
O 0.639 0.109 0.545
O 0.674 0.412 0.236
O 0.698 0.787 0.871
O 0.805 0.285 0.871
O 0.828 0.909 0.241
O 0.865 0.607 0.548
! Space-group type = No. 1
! N(E_F) = 5.3 states/eV per cell
! Formation energy without anion corrections = -2290 meV per atom

---

! HfPIrS2, optimized geometry, DFT GGA-PBEsol; values from VASP
&SYSTEM
  ibrav = 0, nat = 5, ntyp = 4
/
ATOMIC_SPECIES
Hf 178.49 Hf.upf
P 30.97 P.upf
Ir 192.22 Ir.upf
S 32.06 S.upf
CELL_PARAMETERS angstrom
4.713 0.000 0.000
0.000 4.713 0.000
0.000 0.000 4.953
ATOMIC_POSITIONS crystal
Hf 0.000 0.000 0.000
P 0.000 0.000 0.500
Ir 0.500 0.500 0.500
S 0.000 0.500 0.000
S 0.500 0.000 0.000
! Space-group type = No. 123
! N(E_F) = 5.8 states/eV per cell
! Formation energy without anion corrections = 820 meV per atom

---

! Eu2O3, optimized geometry, DFT GGA-PBEsol; values from VASP
&SYSTEM
  ibrav = 0, nat = 15, ntyp = 2
/
ATOMIC_SPECIES
Eu 151.96 Eu.upf
O 16.00 O.upf
CELL_PARAMETERS angstrom
7.007 -1.799 0.000
7.007 1.799 0.000
-1.500 0.000 8.630
ATOMIC_POSITIONS crystal
Eu 0.032 0.032 0.313
Eu 0.314 0.314 0.365
Eu 0.363 0.363 0.011
Eu 0.637 0.637 0.989
Eu 0.686 0.686 0.635
Eu 0.968 0.968 0.687
O 0.127 0.127 0.786
O 0.175 0.175 0.470
O 0.209 0.209 0.124
O 0.471 0.471 0.842
O 0.500 0.500 0.500
O 0.529 0.529 0.158
O 0.791 0.791 0.876
O 0.825 0.825 0.530
O 0.873 0.873 0.214
! Space-group type = No. 12
! N(E_F) = 24.9 states/eV per cell
! Formation energy without anion corrections = -2871 meV per atom